(1)
Material: GeS2N
Method: DFT, GGA-PBE
State: relaxed

Cell and atoms, written as POSCAR:
```
GeS2N
1.0
5.2391 0.0000 0.0000
0.0000 5.2391 0.0000
2.6195 2.6195 5.4756
Ge S N
2 4 2
Direct
0.0000 0.0000 0.0000
0.7500 0.2500 0.5000
0.5096 0.1250 0.2500
0.2404 0.6250 0.2500
0.3750 0.4904 0.7500
0.8750 0.7596 0.7500
0.5000 0.5000 0.0000
0.2500 0.7500 0.5000
```

## Properties
density of states at the Fermi level	4.25	states/eV/cell
ΔE to the lowest computed polymorph	430	meV per atom
total magnetic moment	0.0	μB per cell
calculated volume	150	Å³/cell
formation energy without anion corrections	1.006	eV per atom
crystal system	tetragonal


(2)
Material: GeSN3
Method: DFT, GGA-PBE
State: relaxed

Cell and atoms, written as POSCAR:
```
GeSN3
1.0
-0.4436 0.0078 3.5182
3.4992 -0.3669 0.4420
0.3650 3.5270 0.0382
Ge S N
1 1 3
Direct
0.5000 0.5000 0.5000
0.0000 0.0000 0.0000
0.0000 0.5000 0.0000
0.0000 0.0000 0.5000
0.5000 0.0000 0.0000
```

## Properties
density of states at the Fermi level	1.39	states/eV/cell
total magnetic moment	0.0	μB per cell
calculated volume	45	Å³/cell
formation energy without anion corrections	1.706	eV per atom
crystal system	cubic


(3)
Material: Ge2SN
Method: DFT, GGA-PBE
State: relaxed

Cell and atoms, written as POSCAR:
```
Ge2SN
1.0
-0.1006 -2.1239 3.8000
1.6130 1.8734 3.5847
-2.6857 1.3217 3.1625
Ge S N
2 1 1
Direct
0.2500 0.2500 0.2500
0.7500 0.7500 0.7500
0.5000 0.5000 0.5000
0.0000 0.0000 0.0000
```

## Properties
density of states at the Fermi level	1.84	states/eV/cell
ΔE to the lowest computed polymorph	645	meV per atom
total magnetic moment	0.0	μB per cell
calculated volume	58	Å³/cell
formation energy without anion corrections	0.975	eV per atom
crystal system	cubic


(4)
Material: GeSN2
Method: DFT, GGA-PBE
State: relaxed

Cell and atoms, written as POSCAR:
```
GeSN2
1.0
5.1807 0.0000 0.0000
0.0000 5.1807 0.0000
2.5904 2.5904 3.8201
Ge S N
2 2 4
Direct
0.0000 0.0000 0.0000
0.7500 0.2500 0.5000
0.5000 0.5000 0.0000
0.2500 0.7500 0.5000
0.6843 0.1250 0.2500
0.0657 0.6250 0.2500
0.3750 0.3157 0.7500
0.8750 0.9343 0.7500
```

## Properties
density of states at the Fermi level	1.16	states/eV/cell
ΔE to the lowest computed polymorph	486	meV per atom
total magnetic moment	0.0	μB per cell
calculated volume	103	Å³/cell
formation energy without anion corrections	1.069	eV per atom
crystal system	tetragonal